First-principles (GGA-PBE) data for a relaxed KGa2NiRh crystal, as listed in Alexandria.

POSCAR file:
```
KGa2NiRh
1.0
4.789 0.000 0.000
0.000 4.789 0.000
0.000 0.000 4.957
K Ga Ni Rh
1 2 1 1
Cartesian
0.000 0.000 0.000 K
0.000 2.394 2.478 Ga
2.394 0.000 2.478 Ga
2.394 2.394 0.000 Ni
2.394 2.394 2.478 Rh
```

* SG: No. 123
* E: -4.01 eV/atom

***

First-principles (GGA-PBE) data for a relaxed NaSrErI6 crystal, as listed in Alexandria.

POSCAR file:
```
NaSrErI6
1.0
8.027 0.000 0.000
-4.014 6.952 0.000
0.000 0.000 14.358
Na Sr Er I
2 2 2 12
Cartesian
0.000 0.000 0.000 Na
0.000 0.000 7.179 Na
0.000 4.635 3.590 Sr
4.014 2.317 10.769 Sr
0.000 4.635 10.769 Er
4.014 2.317 3.590 Er
-1.238 2.509 9.005 I
-2.460 4.625 12.532 I
1.238 2.509 12.532 I
-1.222 6.770 9.005 I
2.792 0.182 1.826 I
1.554 2.327 5.353 I
2.460 4.625 9.005 I
1.222 6.770 12.532 I
5.235 0.182 5.353 I
2.775 4.443 1.826 I
6.474 2.327 1.826 I
5.252 4.443 5.353 I
```

* SG: No. 163
* formation energy from raw total energies: -1447 meV/atom
* E: -3.32 eV/atom

***

First-principles (GGA-PBE) data for a relaxed SrMg4Cd6 crystal, as listed in Alexandria.

POSCAR file:
```
SrMg4Cd6
1.0
-3.735 3.735 5.320
3.735 -3.735 5.320
3.735 3.735 -5.320
Sr Mg Cd
1 4 6
Cartesian
0.000 0.000 0.000 Sr
1.160 -1.160 4.345 Mg
2.574 2.574 0.975 Mg
-1.160 1.160 4.345 Mg
1.160 1.160 6.295 Mg
3.735 0.000 0.000 Cd
2.115 2.115 -1.940 Cd
1.619 -1.619 7.260 Cd
0.000 3.735 0.000 Cd
1.619 1.619 3.381 Cd
-1.619 1.619 7.260 Cd
```

* SG: No. 121
* polymorph energy (0 for the lowest one): 0.1297 eV per atom
* E: -1.25 eV/atom

***

First-principles (GGA-PBE) data for a relaxed HfInGa crystal, as listed in Alexandria.

POSCAR file:
```
HfInGa
1.0
2.326 1.343 7.349
-2.326 1.343 7.349
0.000 -2.686 7.349
Hf In Ga
2 2 2
Cartesian
0.000 0.000 4.851 Hf
0.000 0.000 17.197 Hf
0.000 0.000 8.143 In
0.000 0.000 13.905 In
0.000 0.000 2.128 Ga
0.000 0.000 19.920 Ga
```

* SG: No. 166
* polymorph energy (0 for the lowest one): 0.2415 eV per atom
* E: -5.17 eV/atom

***

> Look up the E of the third one.

-1.25 eV/atom